[1]
# KLiMn2, optimized geometry, DFT PBE-GGA
# DFT formation energy: 2.99 eV per formula unit
# E_tot: -18.364 eV/f.u.
# Total magnetic moment: 15.501 μB/cell
# Fermi-level density of states: 0.9933 states/eV per atom
data_KLiMn2
_cell_length_a 9.155
_cell_length_b 2.939
_cell_length_c 7.278
_cell_angle_alpha 90.00
_cell_angle_beta 94.45
_cell_angle_gamma 90.00
_space_group_name_H-M_alt 'C 1 m 1'
_space_group_IT_number 8
loop_
_space_group_symop_operation_xyz
'x,y,z'
'x,-y,z'
'x+1/2,y+1/2,z'
'x+1/2,-y+1/2,z'
loop_
_atom_site_label
_atom_site_fract_x
_atom_site_fract_y
_atom_site_fract_z
K1 0.000 0.000 0.000
Li1 0.234 0.000 0.648
Mn1 0.264 0.500 0.339
Mn2 0.490 0.000 0.478

[2]
# MgTc2Sb, optimized geometry, DFT PBE-GGA
# E_tot: -25.395 eV/f.u.
# Total magnetic moment: 0.001 μB/cell
# ΔE_f (raw): 0.2634 eV/atom
# Fermi-level density of states: 1.2516 states/eV per atom
data_MgTc2Sb
_cell_length_a 3.273
_cell_length_b 3.273
_cell_length_c 6.328
_cell_angle_alpha 90.00
_cell_angle_beta 90.00
_cell_angle_gamma 90.00
_space_group_name_H-M_alt 'P 4/m m m'
_space_group_IT_number 123
_space_group_name_Hall '-P 4 2'
loop_
_atom_site_label
_atom_site_fract_x
_atom_site_fract_y
_atom_site_fract_z
Mg1 0.000 0.000 0.000
Tc1 0.500 0.500 0.270
Sb1 0.000 0.000 0.500

Distance to the lowest polymorph of the same formula in meV per atom, matching the order above: 85.2 216.0